No. 1
# GGA-PBE MgTl3Sb2Te6, optimized geometry
data_MgTl3Sb2Te6
_space_group_name_H-M_alt 'C 1 2/m 1'
_space_group_IT_number 12
_cell_length_a 7.672
_cell_length_b 13.326
_cell_length_c 8.165
_cell_angle_alpha 90.00
_cell_angle_beta 108.17
_cell_angle_gamma 90.00
loop_
_space_group_symop_operation_xyz
'x,y,z'
'-x,-y,-z'
'-x,y,-z'
'x,-y,z'
'x+1/2,y+1/2,z'
'-x+1/2,-y+1/2,-z'
'-x+1/2,y+1/2,-z'
'x+1/2,-y+1/2,z'
loop_
_atom_site_label
_atom_site_type_symbol
_atom_site_fract_x
_atom_site_fract_y
_atom_site_fract_z
Mg1 Mg 0.000 0.000 0.000
Tl1 Tl 0.000 0.171 0.500
Tl2 Tl 0.000 0.500 0.500
Sb1 Sb 0.000 0.335 0.000
Te1 Te 0.234 0.162 0.217
Te2 Te 0.248 0.500 0.216
# Crystal system: monoclinic
# E_tot: -79.16 eV/cell
# Fermi-level density of states: 0.682 states/eV/atom

No. 2
# GGA-PBE Mg2Tl3SbTe6, optimized geometry
data_Mg2Tl3SbTe6
_space_group_name_H-M_alt 'C 1 2/m 1'
_space_group_IT_number 12
_cell_length_a 7.618
_cell_length_b 13.220
_cell_length_c 7.946
_cell_angle_alpha 90.00
_cell_angle_beta 108.37
_cell_angle_gamma 90.00
loop_
_space_group_symop_operation_xyz
'x,y,z'
'-x,-y,-z'
'-x,y,-z'
'x,-y,z'
'x+1/2,y+1/2,z'
'-x+1/2,-y+1/2,-z'
'-x+1/2,y+1/2,-z'
'x+1/2,-y+1/2,z'
loop_
_atom_site_label
_atom_site_type_symbol
_atom_site_fract_x
_atom_site_fract_y
_atom_site_fract_z
Mg1 Mg 0.000 0.168 0.000
Tl1 Tl 0.000 0.000 0.500
Tl2 Tl 0.000 0.336 0.500
Sb1 Sb 0.000 0.500 0.000
Te1 Te 0.231 0.000 0.217
Te2 Te 0.243 0.330 0.216
# Crystal system: monoclinic
# E_tot: -76.11 eV/cell
# Fermi-level density of states: 0.610 states/eV/atom

No. 3
# GGA-PBE MgVSb2Te, optimized geometry
data_MgVSb2Te
_space_group_name_H-M_alt 'P 4/m m m'
_space_group_IT_number 123
_space_group_name_Hall '-P 4 2'
_cell_length_a 5.282
_cell_length_b 5.282
_cell_length_c 5.394
_cell_angle_alpha 90.00
_cell_angle_beta 90.00
_cell_angle_gamma 90.00
loop_
_atom_site_label
_atom_site_type_symbol
_atom_site_fract_x
_atom_site_fract_y
_atom_site_fract_z
Mg1 Mg 0.000 0.000 0.000
V1 V 0.500 0.500 0.500
Sb1 Sb 0.000 0.500 0.000
Te1 Te 0.000 0.000 0.500
# Crystal system: tetragonal
# E_tot: -16.66 eV/cell
# Fermi-level density of states: 1.607 states/eV/atom
# Excess energy over the best structure of this formula in the dataset: 842 meV/atom

No. 4
# GGA-PBE MgVSbTe2, optimized geometry
data_MgVSbTe2
_space_group_name_H-M_alt 'P 4/m m m'
_space_group_IT_number 123
_space_group_name_Hall '-P 4 2'
_cell_length_a 5.445
_cell_length_b 5.445
_cell_length_c 5.191
_cell_angle_alpha 90.00
_cell_angle_beta 90.00
_cell_angle_gamma 90.00
loop_
_atom_site_label
_atom_site_type_symbol
_atom_site_fract_x
_atom_site_fract_y
_atom_site_fract_z
Mg1 Mg 0.000 0.000 0.000
V1 V 0.500 0.500 0.500
Sb1 Sb 0.000 0.000 0.500
Te1 Te 0.000 0.500 0.000
# Crystal system: tetragonal
# E_tot: -16.27 eV/cell
# Fermi-level density of states: 1.539 states/eV/atom
# Excess energy over the best structure of this formula in the dataset: 770 meV/atom

No. 5
# GGA-PBE MgVSb2Te, optimized geometry
data_MgVSb2Te
_space_group_name_H-M_alt 'P 4/m m m'
_space_group_IT_number 123
_space_group_name_Hall '-P 4 2'
_cell_length_a 5.189
_cell_length_b 5.189
_cell_length_c 5.188
_cell_angle_alpha 90.00
_cell_angle_beta 90.00
_cell_angle_gamma 90.00
loop_
_atom_site_label
_atom_site_type_symbol
_atom_site_fract_x
_atom_site_fract_y
_atom_site_fract_z
Mg1 Mg 0.000 0.000 0.000
V1 V 0.500 0.500 0.500
Sb1 Sb 0.000 0.500 0.500
Te1 Te 0.500 0.500 0.000
# Crystal system: tetragonal
# E_tot: -20.87 eV/cell
# Fermi-level density of states: 0.688 states/eV/atom
# Excess energy over the best structure of this formula in the dataset: 0 meV/atom

No. 6
# GGA-PBE MgVSbTe2, optimized geometry
data_MgVSbTe2
_space_group_name_H-M_alt 'P 4/m m m'
_space_group_IT_number 123
_space_group_name_Hall '-P 4 2'
_cell_length_a 5.243
_cell_length_b 5.243
_cell_length_c 5.205
_cell_angle_alpha 90.00
_cell_angle_beta 90.00
_cell_angle_gamma 90.00
loop_
_atom_site_label
_atom_site_type_symbol
_atom_site_fract_x
_atom_site_fract_y
_atom_site_fract_z
Mg1 Mg 0.000 0.000 0.000
V1 V 0.500 0.500 0.500
Sb1 Sb 0.500 0.500 0.000
Te1 Te 0.000 0.500 0.500
# Crystal system: tetragonal
# E_tot: -20.13 eV/cell
# Fermi-level density of states: 0.909 states/eV/atom
# Excess energy over the best structure of this formula in the dataset: 0 meV/atom

No. 7
# GGA-PBE MgSb2TeW, optimized geometry
data_MgSb2TeW
_space_group_name_H-M_alt 'P 4/m m m'
_space_group_IT_number 123
_space_group_name_Hall '-P 4 2'
_cell_length_a 5.163
_cell_length_b 5.163
_cell_length_c 5.268
_cell_angle_alpha 90.00
_cell_angle_beta 90.00
_cell_angle_gamma 90.00
loop_
_atom_site_label
_atom_site_type_symbol
_atom_site_fract_x
_atom_site_fract_y
_atom_site_fract_z
Mg1 Mg 0.000 0.000 0.000
Sb1 Sb 0.000 0.500 0.000
Te1 Te 0.000 0.000 0.500
W1 W 0.500 0.500 0.500
# Crystal system: tetragonal
# E_tot: -17.79 eV/cell
# Fermi-level density of states: 1.593 states/eV/atom
# Excess energy over the best structure of this formula in the dataset: 1042 meV/atom

No. 8
# GGA-PBE MgSb2TeW, optimized geometry
data_MgSb2TeW
_space_group_name_H-M_alt 'P 4/m m m'
_space_group_IT_number 123
_space_group_name_Hall '-P 4 2'
_cell_length_a 5.280
_cell_length_b 5.280
_cell_length_c 5.398
_cell_angle_alpha 90.00
_cell_angle_beta 90.00
_cell_angle_gamma 90.00
loop_
_atom_site_label
_atom_site_type_symbol
_atom_site_fract_x
_atom_site_fract_y
_atom_site_fract_z
Mg1 Mg 0.000 0.000 0.000
Sb1 Sb 0.000 0.500 0.500
Te1 Te 0.500 0.500 0.000
W1 W 0.500 0.500 0.500
# Crystal system: tetragonal
# E_tot: -23.00 eV/cell
# Fermi-level density of states: 0.927 states/eV/atom
# Excess energy over the best structure of this formula in the dataset: 0 meV/atom

No. 9
# GGA-PBE YMgSbTe2, optimized geometry
data_YMgSbTe2
_space_group_name_H-M_alt 'P 4/m m m'
_space_group_IT_number 123
_space_group_name_Hall '-P 4 2'
_cell_length_a 5.462
_cell_length_b 5.462
_cell_length_c 5.266
_cell_angle_alpha 90.00
_cell_angle_beta 90.00
_cell_angle_gamma 90.00
loop_
_atom_site_label
_atom_site_type_symbol
_atom_site_fract_x
_atom_site_fract_y
_atom_site_fract_z
Y1 Y 0.000 0.000 0.000
Mg1 Mg 0.500 0.500 0.500
Sb1 Sb 0.500 0.500 0.000
Te1 Te 0.000 0.500 0.500
# Crystal system: tetragonal
# E_tot: -18.95 eV/cell
# Fermi-level density of states: 1.092 states/eV/atom
# Excess energy over the best structure of this formula in the dataset: 0 meV/atom

No. 10
# GGA-PBE YMgSbTe2, optimized geometry
data_YMgSbTe2
_space_group_name_H-M_alt 'P 4/m m m'
_space_group_IT_number 123
_space_group_name_Hall '-P 4 2'
_cell_length_a 5.806
_cell_length_b 5.806
_cell_length_c 5.849
_cell_angle_alpha 90.00
_cell_angle_beta 90.00
_cell_angle_gamma 90.00
loop_
_atom_site_label
_atom_site_type_symbol
_atom_site_fract_x
_atom_site_fract_y
_atom_site_fract_z
Y1 Y 0.000 0.000 0.000
Mg1 Mg 0.500 0.500 0.500
Sb1 Sb 0.000 0.000 0.500
Te1 Te 0.000 0.500 0.000
# Crystal system: tetragonal
# E_tot: -18.62 eV/cell
# Fermi-level density of states: 1.348 states/eV/atom
# Excess energy over the best structure of this formula in the dataset: 66 meV/atom

No. 11
# GGA-PBE MgZnSbTe2, optimized geometry
data_MgZnSbTe2
_space_group_name_H-M_alt 'P 4/m m m'
_space_group_IT_number 123
_space_group_name_Hall '-P 4 2'
_cell_length_a 5.489
_cell_length_b 5.489
_cell_length_c 5.429
_cell_angle_alpha 90.00
_cell_angle_beta 90.00
_cell_angle_gamma 90.00
loop_
_atom_site_label
_atom_site_type_symbol
_atom_site_fract_x
_atom_site_fract_y
_atom_site_fract_z
Mg1 Mg 0.000 0.000 0.000
Zn1 Zn 0.500 0.500 0.500
Sb1 Sb 0.000 0.000 0.500
Te1 Te 0.000 0.500 0.000
# Crystal system: tetragonal
# E_tot: -10.93 eV/cell
# Fermi-level density of states: 1.415 states/eV/atom
# Excess energy over the best structure of this formula in the dataset: 131 meV/atom

No. 12
# GGA-PBE MgZnSbTe2, optimized geometry
data_MgZnSbTe2
_space_group_name_H-M_alt 'P 4/m m m'
_space_group_IT_number 123
_space_group_name_Hall '-P 4 2'
_cell_length_a 5.463
_cell_length_b 5.463
_cell_length_c 5.052
_cell_angle_alpha 90.00
_cell_angle_beta 90.00
_cell_angle_gamma 90.00
loop_
_atom_site_label
_atom_site_type_symbol
_atom_site_fract_x
_atom_site_fract_y
_atom_site_fract_z
Mg1 Mg 0.000 0.000 0.000
Zn1 Zn 0.500 0.500 0.500
Sb1 Sb 0.500 0.500 0.000
Te1 Te 0.000 0.500 0.500
# Crystal system: tetragonal
# E_tot: -11.59 eV/cell
# Fermi-level density of states: 0.822 states/eV/atom
# Excess energy over the best structure of this formula in the dataset: 0 meV/atom

No. 13
# GGA-PBE Mg2ZrSbTe, optimized geometry
data_Mg2ZrSbTe
_space_group_name_H-M_alt 'P 4/m m m'
_space_group_IT_number 123
_space_group_name_Hall '-P 4 2'
_cell_length_a 5.710
_cell_length_b 5.710
_cell_length_c 5.338
_cell_angle_alpha 90.00
_cell_angle_beta 90.00
_cell_angle_gamma 90.00
loop_
_atom_site_label
_atom_site_type_symbol
_atom_site_fract_x
_atom_site_fract_y
_atom_site_fract_z
Mg1 Mg 0.000 0.500 0.000
Zr1 Zr 0.000 0.000 0.000
Sb1 Sb 0.500 0.500 0.500
Te1 Te 0.000 0.000 0.500
# Crystal system: tetragonal
# E_tot: -15.83 eV/cell
# Fermi-level density of states: 1.793 states/eV/atom

No. 14
# GGA-PBE MgZrSbTe2, optimized geometry
data_MgZrSbTe2
_space_group_name_H-M_alt 'P 4/m m m'
_space_group_IT_number 123
_space_group_name_Hall '-P 4 2'
_cell_length_a 5.580
_cell_length_b 5.580
_cell_length_c 5.638
_cell_angle_alpha 90.00
_cell_angle_beta 90.00
_cell_angle_gamma 90.00
loop_
_atom_site_label
_atom_site_type_symbol
_atom_site_fract_x
_atom_site_fract_y
_atom_site_fract_z
Mg1 Mg 0.000 0.000 0.000
Zr1 Zr 0.500 0.500 0.500
Sb1 Sb 0.500 0.500 0.000
Te1 Te 0.000 0.500 0.500
# Crystal system: tetragonal
# E_tot: -20.67 eV/cell
# Fermi-level density of states: 1.131 states/eV/atom
# Excess energy over the best structure of this formula in the dataset: 0 meV/atom

No. 15
# GGA-PBE MgZrSbTe2, optimized geometry
data_MgZrSbTe2
_space_group_name_H-M_alt 'P 4/m m m'
_space_group_IT_number 123
_space_group_name_Hall '-P 4 2'
_cell_length_a 5.349
_cell_length_b 5.349
_cell_length_c 5.238
_cell_angle_alpha 90.00
_cell_angle_beta 90.00
_cell_angle_gamma 90.00
loop_
_atom_site_label
_atom_site_type_symbol
_atom_site_fract_x
_atom_site_fract_y
_atom_site_fract_z
Mg1 Mg 0.000 0.000 0.000
Zr1 Zr 0.500 0.500 0.500
Sb1 Sb 0.000 0.000 0.500
Te1 Te 0.000 0.500 0.000
# Crystal system: tetragonal
# E_tot: -18.19 eV/cell
# Fermi-level density of states: 1.296 states/eV/atom
# Excess energy over the best structure of this formula in the dataset: 498 meV/atom

No. 16
# GGA-PBE MgZrSbTe2, optimized geometry
data_MgZrSbTe2
_space_group_name_H-M_alt 'P 4/m m m'
_space_group_IT_number 123
_space_group_name_Hall '-P 4 2'
_cell_length_a 5.206
_cell_length_b 5.206
_cell_length_c 5.594
_cell_angle_alpha 90.00
_cell_angle_beta 90.00
_cell_angle_gamma 90.00
loop_
_atom_site_label
_atom_site_type_symbol
_atom_site_fract_x
_atom_site_fract_y
_atom_site_fract_z
Mg1 Mg 0.000 0.000 0.000
Zr1 Zr 0.000 0.000 0.500
Sb1 Sb 0.500 0.500 0.500
Te1 Te 0.000 0.500 0.000
# Crystal system: tetragonal
# E_tot: -17.32 eV/cell
# Fermi-level density of states: 1.252 states/eV/atom
# Excess energy over the best structure of this formula in the dataset: 672 meV/atom

No. 17
# GGA-PBE Th2MgSb, optimized geometry
data_Th2MgSb
_space_group_name_H-M_alt 'P 4/m m m'
_space_group_IT_number 123
_space_group_name_Hall '-P 4 2'
_cell_length_a 4.927
_cell_length_b 4.927
_cell_length_c 4.621
_cell_angle_alpha 90.00
_cell_angle_beta 90.00
_cell_angle_gamma 90.00
loop_
_atom_site_label
_atom_site_type_symbol
_atom_site_fract_x
_atom_site_fract_y
_atom_site_fract_z
Th1 Th 0.000 0.500 0.000
Mg1 Mg 0.000 0.000 0.500
Sb1 Sb 0.500 0.500 0.500
# Crystal system: tetragonal
# E_tot: -21.89 eV/cell
# Fermi-level density of states: 1.046 states/eV/atom

No. 18
# GGA-PBE ThMgSb2, optimized geometry
data_ThMgSb2
_space_group_name_H-M_alt 'P 4/n m m'
_space_group_IT_number 129
_cell_length_a 4.400
_cell_length_b 4.400
_cell_length_c 11.260
_cell_angle_alpha 90.00
_cell_angle_beta 90.00
_cell_angle_gamma 90.00
loop_
_space_group_symop_operation_xyz
'x,y,z'
'-x,-y,-z'
'-y+1/2,x,z'
'y+1/2,-x,-z'
'-x+1/2,-y+1/2,z'
'x+1/2,y+1/2,-z'
'y,-x+1/2,z'
'-y,x+1/2,-z'
'x+1/2,-y,-z'
'-x+1/2,y,z'
'-y,-x,-z'
'y,x,z'
'-x,y+1/2,-z'
'x,-y+1/2,z'
'y+1/2,x+1/2,-z'
'-y+1/2,-x+1/2,z'
loop_
_atom_site_label
_atom_site_type_symbol
_atom_site_fract_x
_atom_site_fract_y
_atom_site_fract_z
Th1 Th 0.250 0.250 0.216
Mg1 Mg 0.250 0.750 0.500
Sb1 Sb 0.250 0.250 0.689
Sb2 Sb 0.250 0.750 0.000
# Crystal system: tetragonal
# E_tot: -39.03 eV/cell
# Fermi-level density of states: 0.691 states/eV/atom
# Excess energy over the best structure of this formula in the dataset: 30 meV/atom

No. 19
# GGA-PBE ThMgSb2, optimized geometry
data_ThMgSb2
_space_group_name_H-M_alt 'P 4/m m m'
_space_group_IT_number 123
_space_group_name_Hall '-P 4 2'
_cell_length_a 5.124
_cell_length_b 5.124
_cell_length_c 4.074
_cell_angle_alpha 90.00
_cell_angle_beta 90.00
_cell_angle_gamma 90.00
loop_
_atom_site_label
_atom_site_type_symbol
_atom_site_fract_x
_atom_site_fract_y
_atom_site_fract_z
Th1 Th 0.000 0.000 0.000
Mg1 Mg 0.500 0.500 0.000
Sb1 Sb 0.000 0.500 0.500
# Crystal system: tetragonal
# E_tot: -19.64 eV/cell
# Fermi-level density of states: 0.488 states/eV/atom
# Excess energy over the best structure of this formula in the dataset: 0 meV/atom

No. 20
# GGA-PBE Th2MgSb3, optimized geometry
data_Th2MgSb3
_space_group_name_H-M_alt 'I 4/m m m'
_space_group_IT_number 139
_space_group_name_Hall '-I 4 2'
_cell_length_a 4.466
_cell_length_b 4.466
_cell_length_c 18.989
_cell_angle_alpha 90.00
_cell_angle_beta 90.00
_cell_angle_gamma 90.00
loop_
_atom_site_label
_atom_site_type_symbol
_atom_site_fract_x
_atom_site_fract_y
_atom_site_fract_z
Th1 Th 0.000 0.000 0.163
Mg1 Mg 0.000 0.000 0.500
Sb1 Sb 0.000 0.000 0.000
Sb2 Sb 0.000 0.000 0.335
# Crystal system: tetragonal
# E_tot: -65.58 eV/cell
# Fermi-level density of states: 0.394 states/eV/atom